No. 1
# PBE Pr5Ga2As, relaxed
# energy of formation = -4.98 eV per formula unit
# crystal system = tetragonal
# magnetic moment = 0.91 μB per formula unit
# space group = I4/mcm
data_Pr5Ga2As
_cell_length_a 8.008
_cell_length_b 8.008
_cell_length_c 9.005
_cell_angle_alpha 116.40
_cell_angle_beta 116.40
_cell_angle_gamma 90.00
_symmetry_space_group_name_H-M 'P 1'
_symmetry_Int_Tables_number 1
loop_
_symmetry_equiv_pos_as_xyz
'x,y,z'
loop_
_atom_site_label
_atom_site_fract_x
_atom_site_fract_y
_atom_site_fract_z
Pr1 0.479 0.322 0.301
Ga1 0.880 0.620 0.000
Pr2 0.678 0.178 0.699
As1 0.250 0.250 0.500
Pr3 0.979 0.479 0.301
Ga2 0.120 0.380 0.000
Ga3 0.380 0.880 0.000
Pr4 0.021 0.521 0.699
Pr5 0.000 0.000 0.000
As2 0.750 0.750 0.500
Pr6 0.322 0.822 0.301
Pr7 0.178 0.021 0.699
Pr8 0.521 0.678 0.699
Pr9 0.500 0.500 0.000
Pr10 0.822 0.979 0.301
Ga4 0.620 0.120 0.000


No. 2
# PBE Pr4GaAsS2, relaxed
# crystal system = monoclinic
# magnetic moment = 0.00 μB per formula unit
# uncorrected formation energy = -12.05 eV/f.u.
# space group = P2/m
data_Pr4GaAsS2
_cell_length_a 4.172
_cell_length_b 7.351
_cell_length_c 7.358
_cell_angle_alpha 71.04
_cell_angle_beta 90.00
_cell_angle_gamma 90.00
_symmetry_space_group_name_H-M 'P 1'
_symmetry_Int_Tables_number 1
loop_
_symmetry_equiv_pos_as_xyz
'x,y,z'
loop_
_atom_site_label
_atom_site_fract_x
_atom_site_fract_y
_atom_site_fract_z
S1 0.000 0.000 0.000
Pr1 0.500 0.759 0.244
Pr2 0.500 0.241 0.756
Ga1 0.000 0.500 0.500
As1 0.500 0.500 0.000
S2 0.500 0.000 0.500
Pr3 0.000 0.247 0.250
Pr4 0.000 0.753 0.750


No. 3
# PBE Pr8GaTe4As3, relaxed
# crystal system = trigonal
# magnetic moment = 0.00 μB per formula unit
# uncorrected formation energy = -22.62 eV/f.u.
# space group = R-3m
data_Pr8GaTe4As3
_cell_length_a 8.794
_cell_length_b 8.939
_cell_length_c 8.794
_cell_angle_alpha 119.46
_cell_angle_beta 120.00
_cell_angle_gamma 90.00
_symmetry_space_group_name_H-M 'P 1'
_symmetry_Int_Tables_number 1
loop_
_symmetry_equiv_pos_as_xyz
'x,y,z'
loop_
_atom_site_label
_atom_site_fract_x
_atom_site_fract_y
_atom_site_fract_z
Pr1 0.758 0.274 0.517
Pr2 0.242 0.726 0.483
Te1 0.500 0.000 0.500
Pr3 0.743 0.726 0.984
Pr4 0.257 0.274 0.016
As1 0.500 0.500 0.500
Pr5 0.242 0.726 0.984
Ga1 0.000 0.500 0.000
Pr6 0.741 0.722 0.481
As2 0.000 0.500 0.500
Te2 0.500 0.000 0.000
Pr7 0.259 0.278 0.519
Te3 0.000 0.000 0.000
Pr8 0.758 0.274 0.016
Te4 0.000 0.000 0.500
As3 0.500 0.500 0.000


No. 4
# PBE Pr6GaTe3As2, relaxed
# crystal system = monoclinic
# magnetic moment = 0.00 μB per formula unit
# uncorrected formation energy = -16.35 eV/f.u.
# space group = C2/m
data_Pr6GaTe3As2
_cell_length_a 4.369
_cell_length_b 9.004
_cell_length_c 9.978
_cell_angle_alpha 104.32
_cell_angle_beta 102.65
_cell_angle_gamma 90.00
_symmetry_space_group_name_H-M 'P 1'
_symmetry_Int_Tables_number 1
loop_
_symmetry_equiv_pos_as_xyz
'x,y,z'
loop_
_atom_site_label
_atom_site_fract_x
_atom_site_fract_y
_atom_site_fract_z
Pr1 0.005 0.240 0.010
Te1 0.500 0.500 0.000
Te2 0.832 0.168 0.665
As1 0.833 0.666 0.666
Te3 0.168 0.832 0.335
Pr2 0.339 0.903 0.677
Pr3 0.327 0.432 0.655
Pr4 0.661 0.097 0.323
As2 0.167 0.334 0.334
Pr5 0.673 0.568 0.345
Pr6 0.995 0.760 0.990
Ga1 0.500 0.000 0.000